Here is a relaxed TlTc2Os crystal from Alexandria via LeMat-Bulk. Energies are from PBE.

Lattice parameters (Å, degrees): 9.3295 9.3295 9.3295 17.71 17.71 17.71
Positions (direct):
Os  0.7500  0.7500  0.7500
Tc  0.0070  0.0070  0.0070
Tc  0.4930  0.4930  0.4930
Tl  0.2500  0.2500  0.2500

Properties
size of the total moment	0.0	Bohr magnetons per cell
energy relative to the elements	0.512	eV per atom
space group	No. 166
relative energy among the computed polymorphs	4.81	kJ/mol of atoms


Here is a relaxed TlTcOs2 crystal from Alexandria via LeMat-Bulk. Energies are from PBE.

Lattice parameters (Å, degrees): 7.4118 7.4118 5.8930 51.03 51.03 90.00
Positions (direct):
Tl  0.0000  0.0000  0.0000
Tl  0.7500  0.2500  0.5000
Os  0.5719  0.1250  0.2500
Os  0.1781  0.6250  0.2500
Os  0.3750  0.4281  0.7500
Os  0.8750  0.8219  0.7500
Tc  0.5000  0.5000  0.0000
Tc  0.2500  0.7500  0.5000

Properties
size of the total moment	0.0	Bohr magnetons per cell
energy relative to the elements	1.155	eV per atom
space group	No. 122
relative energy among the computed polymorphs	55.43	kJ/mol of atoms